<A>
Compound: SrMg3Rh
Source: the Alexandria database
Functional: GGA-PBE
Structure: optimized geometry

## Properties
Total magnetic moment: 0.0000 μB per atom
DOS at the Fermi energy: 3.07 states/eV per cell

Cell lengths 5.078, 5.078, 5.078 Å; angles 90.00, 90.00, 90.00 degrees
Atoms (fractional coordinates):
Sr  0.000  0.000  0.000
Mg  0.000  0.500  0.500
Mg  0.500  0.000  0.500
Mg  0.500  0.500  0.000
Rh  0.500  0.500  0.500

---

<B>
Compound: SrMg3Rh
Source: the Alexandria database
Functional: GGA-PBE
Structure: optimized geometry

## Properties
Total magnetic moment: 0.0075 μB per atom
DOS at the Fermi energy: 11.79 states/eV per cell

Cell lengths 5.901, 5.901, 5.901 Å; angles 90.00, 90.00, 90.00 degrees
Atoms (fractional coordinates):
Sr  0.000  0.000  0.000
Mg  0.000  0.000  0.500
Mg  0.000  0.500  0.000
Mg  0.500  0.000  0.000
Rh  0.500  0.500  0.500

---

<A> has the most favorable energy; the next structure is 1956 meV/atom above.